The following is a PBE calculation of a geometry-optimized K3BiAs2O8 structure, from the Alexandria database.

Results
Space-group type: P-3m1, No. 164
ΔE_f (raw), eV/atom: -1.55
Crystal system: trigonal

a b c (Å): 5.997 5.997 7.849
angles (deg): 90.00 90.00 120.00
Element x y z (fractional)
K 0.000 0.000 0.000
K 0.333 0.667 0.699
K 0.667 0.333 0.301
Bi 0.000 0.000 0.500
As 0.333 0.667 0.235
As 0.667 0.333 0.765
O 0.177 0.354 0.317
O 0.177 0.823 0.317
O 0.333 0.667 0.022
O 0.354 0.177 0.683
O 0.646 0.823 0.317
O 0.667 0.333 0.978
O 0.823 0.177 0.683
O 0.823 0.646 0.683



The following is a PBE calculation of a geometry-optimized SrSb2HI structure, from the Alexandria database.

Results
Space-group type: P4/mmm, No. 123
Energy above the most stable polymorph in this dataset, eV per formula unit: 4.94
Crystal system: tetragonal

a b c (Å): 6.432 6.432 6.410
angles (deg): 90.00 90.00 90.00
Element x y z (fractional)
Sr 0.000 0.000 0.000
Sb 0.000 0.500 0.000
Sb 0.500 0.000 0.000
H 0.500 0.500 0.500
I 0.000 0.000 0.500



Number 1: total magnetization 0.000 μB per formula unit, ρ 4.1 Mg/m³, total energy -5.56 eV/atom. Number 2: total magnetization 3.436 μB per formula unit, ρ 2.9 Mg/m³, total energy -2.25 eV/atom.